## K2BaSb2 (GGA-PBE)

Data for a geometry-optimized K2BaSb2 structure. Values from VASP.

The value obtained for the calculated volume is 36.65 A^3/atom. As for the density of states at the Fermi level: 9.26 states/eV per cell. The uncorrected energy is -2.888 eV/atom. The calculation puts the excess energy over the best structure of this formula in the dataset at 119 meV/atom. The calculation puts the formation energy from raw total energies at -2.08 eV/f.u.

The structure in Quantum ESPRESSO input format:
```
&SYSTEM
  ibrav = 0, nat = 10, ntyp = 3
/
ATOMIC_SPECIES
K 39.10 K.upf
Ba 137.33 Ba.upf
Sb 121.76 Sb.upf
ATOMIC_POSITIONS crystal
K 0.111 0.389 0.000
K 0.389 0.889 0.000
K 0.611 0.111 0.000
K 0.889 0.611 0.000
Ba 0.000 0.000 0.000
Ba 0.500 0.500 0.000
Sb 0.187 0.687 0.500
Sb 0.313 0.187 0.500
Sb 0.687 0.813 0.500
Sb 0.813 0.313 0.500
CELL_PARAMETERS angstrom
9.946 0.000 0.000
0.000 9.946 0.000
0.000 0.000 3.705
```